Record 1
## UPaCd2O8 (GGA-PBE)

Data for UPaCd2O8 after structural relaxation.

POSCAR file:
```
UPaCd2O8
1.0
3.506 -3.577 0.000
3.506 3.577 0.000
0.000 0.000 7.164
U Pa Cd O
1 1 2 8
direct
0.000 0.000 0.000
0.000 0.000 0.500
0.500 0.500 0.249
0.500 0.500 0.751
0.181 0.819 0.241
0.181 0.819 0.759
0.281 0.281 0.000
0.289 0.289 0.500
0.711 0.711 0.500
0.719 0.719 0.000
0.819 0.181 0.241
0.819 0.181 0.759
```

## Properties
Space group: No. 65
V (Å³/cell): 179.7
Calculated total energy (eV/atom): -7.559
Total magnetization (μB per cell): 0.628

---

Record 2
## BaBi2Pt (GGA-PBE)

Data for BaBi2Pt after structural relaxation.

POSCAR file:
```
BaBi2Pt
1.0
0.000 3.863 3.863
3.863 0.000 3.863
3.863 3.863 0.000
Ba Bi Pt
1 2 1
direct
0.000 0.000 0.000
0.250 0.250 0.250
0.750 0.750 0.750
0.500 0.500 0.500
```

## Properties
Space group: No. 225
V (Å³/cell): 115.3
Formation energy (meV per atom): -125
Total magnetization (μB per cell): 0.000

---

Record 3
## Th8AuC6 (GGA-PBE)

Data for Th8AuC6 after structural relaxation.

POSCAR file:
```
Th8AuC6
1.0
5.052 2.917 3.970
-5.052 2.917 3.970
0.000 -5.834 3.970
Th Au C
8 1 6
direct
0.109 0.356 0.791
0.209 0.891 0.644
0.241 0.241 0.241
0.356 0.791 0.109
0.644 0.209 0.891
0.759 0.759 0.759
0.791 0.109 0.356
0.891 0.644 0.209
0.500 0.500 0.500
0.069 0.685 0.892
0.108 0.931 0.315
0.315 0.108 0.931
0.685 0.892 0.069
0.892 0.069 0.685
0.931 0.315 0.108
```

## Properties
Space group: No. 148
V (Å³/cell): 351.0
Formation energy (meV per atom): -81
Total magnetization (μB per cell): 0.000